# PmLuMnCd, relaxed, DFT PBE-GGA
# E_form: 0.00 eV per atom
# E_tot: -4.8348 eV/atom
data_PmLuMnCd
_chemical_formula_sum 'Pm4 Lu4 Mn4 Cd4'
_space_group_name_H-M_alt 'F -4 3 m'
_space_group_IT_number 216
_space_group_name_Hall 'F -4 2 3'
_cell_length_a 7.324
_cell_length_b 7.324
_cell_length_c 7.324
_cell_angle_alpha 90.00
_cell_angle_beta 90.00
_cell_angle_gamma 90.00
loop_
_atom_site_label
_atom_site_type_symbol
_atom_site_fract_x
_atom_site_fract_y
_atom_site_fract_z
Pm1 Pm 0.000 0.000 0.000
Lu1 Lu 0.000 0.000 0.500
Mn1 Mn 0.250 0.250 0.250
Cd1 Cd 0.250 0.250 0.750